Below is LiHfMn2Sb after structural relaxation, with properties calculated at the PBE level.

Unit cell a=4.7023 b=4.7023 c=5.2943 alpha=90.00 beta=90.00 gamma=90.00
With the nearest neighbours (Å) after each atom.
Space group P4/mmm (No. 123)
Unique sites:
Li: 0.0000 0.0000 0.0000 [1 per cell]  4 Hf 3.33, 8 Mn 3.54
Hf: 0.5000 0.5000 0.0000 [1 per cell]  2 Sb 2.65
Mn: 0.0000 0.5000 0.5000 [2 per cell]  2 Sb 2.35
Sb: 0.5000 0.5000 0.5000 [1 per cell]  4 Mn 2.35

Properties
N(E_F) = 3.215 states/eV per atom
Size of the total moment = 0.4 μB per cell
Energy relative to the elements, uncorrected = 7.43 eV per formula unit